GaNi2Rh | PBE-GGA | optimized geometry

Cell and atoms, written as POSCAR:
```
GaNi2Rh
1.0
2.7511 0.0000 0.0000
0.0000 2.7511 0.0000
0.0000 0.0000 6.6208
Ni Rh Ga
2 1 1
Cartesian
0.0000 0.0000 5.0588
0.0000 0.0000 1.5619
1.3756 1.3756 3.3104
1.3756 1.3756 0.0000
```

Calculated values
calculated formation energy	-156	meV per atom
calculated volume	50.1	Å³/f.u.
final energy	-5.64	eV/atom

GaNiRh3 | PBE-GGA | optimized geometry

Cell and atoms, written as POSCAR:
```
GaNiRh3
1.0
-1.6978 3.1869 -1.4968
-1.7409 -2.2041 -2.7182
-7.8021 0.4254 4.6519
Ga Ni Rh
2 2 6
Cartesian
-7.5423 0.1609 0.4846
-3.1015 0.1266 0.4786
-4.8095 0.6199 -1.6377
-7.5320 2.8545 1.1042
-2.5573 1.9541 -1.3518
-8.0254 1.0355 2.8951
-5.3197 1.4901 0.7936
-2.6183 -0.7480 -1.9319
-9.7843 1.5203 0.8182
-5.3241 -1.2025 0.1696
```

Calculated values
calculated formation energy	-243	meV per atom
calculated volume	67.8	Å³/f.u.
final energy	-6.42	eV/atom
E above lowest polymorph	0.000	eV/atom

GaNi6Rh2 | PBE-GGA | optimized geometry

Cell and atoms, written as POSCAR:
```
GaNi6Rh2
1.0
-3.5806 0.7080 2.6144
-8.8916 -10.1368 -1.7165
-0.4461 -2.2520 3.8583
Ga Ni Rh
2 12 4
Cartesian
-7.1152 -9.8543 2.5708
-5.8032 -1.8264 2.1854
-4.7723 -5.3611 1.9855
-2.6477 -2.2453 4.0465
-8.1461 -6.3197 2.7706
-10.2706 -9.4355 0.7096
-1.3099 -1.7243 1.8839
-6.1222 -5.8706 4.1434
-11.6084 -9.9564 2.8722
-6.7962 -5.8102 0.6128
-9.3662 -11.1763 2.4076
-5.9058 -7.5486 2.3205
-3.5521 -0.5045 2.3485
-7.0125 -4.1321 2.4356
-8.0212 -8.1313 0.8605
-9.3437 -8.6171 3.0371
-4.8971 -3.5494 3.8957
-3.5746 -3.0637 1.7190
```

Calculated values
calculated formation energy	-66	meV per atom
calculated volume	109.6	Å³/f.u.
final energy	-5.89	eV/atom

Ga2NiRh4 | PBE-GGA | optimized geometry

Cell and atoms, written as POSCAR:
```
Ga2NiRh4
1.0
-1.9818 -3.9093 -2.6227
4.1572 1.7691 -2.3826
1.3474 -1.5438 4.6787
Ga Ni Rh
2 1 4
Cartesian
1.0877 -1.0701 -2.5027
-0.3172 -2.7266 1.0280
0.0000 0.0000 0.0000
-0.9909 -1.9547 -1.3114
1.7614 -1.8420 -0.1633
0.6737 -0.7719 2.3393
2.0786 0.8846 -1.1913
```

Calculated values
calculated formation energy	-230	meV per atom
calculated volume	102.6	Å³/f.u.
final energy	-6.12	eV/atom

Ga4Ni15Rh | PBE-GGA | optimized geometry

Cell and atoms, written as POSCAR:
```
Ga4Ni15Rh
1.0
-3.5363 0.0476 0.6343
-0.6318 -0.6806 -3.4709
0.3694 -17.5719 3.3782
Ga Ni Rh
4 15 1
Cartesian
0.0749 -3.5607 0.6845
0.1481 -7.0433 1.3541
0.2214 -10.5286 2.0241
0.2946 -14.0112 2.6937
-2.0840 -0.3165 -1.4183
-2.0100 -3.8358 -0.7417
-1.9364 -7.3397 -0.0681
-1.8623 -10.8652 0.6097
-1.7886 -14.3691 1.2833
-1.7307 -1.7548 0.6591
-1.6571 -5.2557 1.3322
-1.5834 -8.7622 2.0063
-1.5097 -12.2686 2.6804
-1.4361 -15.7696 3.3535
-0.2785 -2.1188 -1.3935
-0.2049 -5.6198 -0.7205
-0.1312 -9.1263 -0.0464
-0.0575 -12.6327 0.6277
0.0161 -16.1337 1.3008
0.0000 0.0000 0.0000
```

Calculated values
calculated formation energy	-224	meV per atom
calculated volume	231.1	Å³/f.u.
final energy	-5.53	eV/atom

Ga3Ni2Rh | PBE-GGA | optimized geometry

Cell and atoms, written as POSCAR:
```
Ga3Ni2Rh
1.0
2.9742 0.0000 0.0000
0.0000 2.9742 0.0000
0.0000 0.0000 8.8056
Ga Ni Rh
3 2 1
Cartesian
0.0000 0.0000 0.0000
0.0000 0.0000 5.9817
0.0000 0.0000 2.8240
1.4871 1.4871 7.3810
1.4871 1.4871 1.4246
1.4871 1.4871 4.4028
```

Calculated values
calculated formation energy	-458	meV per atom
calculated volume	77.9	Å³/f.u.
final energy	-5.12	eV/atom